[1]
# Co2PS | Alexandria | GGA-PBEsol | optimized geometry
data_Co2PS
_chemical_formula_sum 'Co8 P4 S4'
_cell_length_a 4.904
_cell_length_b 4.904
_cell_length_c 9.755
_cell_angle_alpha 90.00
_cell_angle_beta 90.00
_cell_angle_gamma 90.00
_space_group_name_H-M_alt 'I -4 2 d'
_space_group_IT_number 122
_space_group_name_Hall 'I -4 2bw'
loop_
_atom_site_label
_atom_site_type_symbol
_atom_site_fract_x
_atom_site_fract_y
_atom_site_fract_z
Co1 Co 0.245 0.250 0.125
P1 P 0.000 0.000 0.500
S1 S 0.000 0.000 0.000
# - V: 14.66 Å³ per atom
# - Calculated total energy: -6.707 eV/atom



[2]
# Zr5Ir3 | Alexandria | GGA-PBEsol | optimized geometry
data_Zr5Ir3
_chemical_formula_sum 'Zr30 Ir18'
_cell_length_a 7.8784
_cell_length_b 7.8784
_cell_length_c 16.9530
_cell_angle_alpha 90.00
_cell_angle_beta 90.00
_cell_angle_gamma 120.00
_space_group_name_H-M_alt 'P 61 2 2'
_space_group_IT_number 178
_space_group_name_Hall 'P 61 2 (0 0 5)'
loop_
_atom_site_label
_atom_site_type_symbol
_atom_site_fract_x
_atom_site_fract_y
_atom_site_fract_z
Zr1 Zr 0.0000 0.2492 0.3333
Zr2 Zr 0.0078 0.2377 0.9936
Zr3 Zr 0.2500 0.6250 0.5833
Zr4 Zr 0.3105 0.6553 0.0833
Ir1 Ir 0.0000 0.3849 0.8333
Ir2 Ir 0.0212 0.4152 0.1900
# - V: 18.99 Å³ per atom
# - Calculated total energy: -10.109 eV/atom
# - E_form: -0.744 eV/atom



[3]
# Lu5Si3 | Alexandria | GGA-PBEsol | optimized geometry
data_Lu5Si3
_chemical_formula_sum 'Lu10 Si6'
_cell_length_a 8.1457
_cell_length_b 8.1457
_cell_length_c 6.0668
_cell_angle_alpha 90.00
_cell_angle_beta 90.00
_cell_angle_gamma 120.00
_space_group_name_H-M_alt 'P 63/m c m'
_space_group_IT_number 193
_space_group_name_Hall '-P 6c 2'
loop_
_atom_site_label
_atom_site_type_symbol
_atom_site_fract_x
_atom_site_fract_y
_atom_site_fract_z
Lu1 Lu 0.0000 0.2414 0.2500
Lu2 Lu 0.3333 0.6667 0.0000
Si1 Si 0.0000 0.3957 0.7500
# - V: 21.79 Å³ per atom
# - Calculated total energy: -5.949 eV/atom



[4]
# YAl3Ni | Alexandria | GGA-PBEsol | optimized geometry
data_YAl3Ni
_chemical_formula_sum 'Y4 Al12 Ni4'
_cell_length_a 8.078
_cell_length_b 4.014
_cell_length_c 10.549
_cell_angle_alpha 90.00
_cell_angle_beta 90.00
_cell_angle_gamma 90.00
_space_group_name_H-M_alt 'P n m a'
_space_group_IT_number 62
_space_group_name_Hall '-P 2ac 2n'
loop_
_atom_site_label
_atom_site_type_symbol
_atom_site_fract_x
_atom_site_fract_y
_atom_site_fract_z
Y1 Y 0.186 0.250 0.009
Al1 Al 0.055 0.250 0.583
Al2 Al 0.115 0.750 0.787
Al3 Al 0.143 0.750 0.222
Ni1 Ni 0.106 0.250 0.357
# - V: 17.10 Å³ per atom
# - Calculated total energy: -5.663 eV/atom
# - E_form: -0.612 eV/atom



[5]
# CaAu2 | Alexandria | GGA-PBEsol | optimized geometry
data_CaAu2
_chemical_formula_sum 'Ca4 Au8'
_cell_length_a 5.740
_cell_length_b 5.201
_cell_length_c 8.324
_cell_angle_alpha 90.00
_cell_angle_beta 90.00
_cell_angle_gamma 90.00
_space_group_name_H-M_alt 'P n m a'
_space_group_IT_number 62
_space_group_name_Hall '-P 2ac 2n'
loop_
_atom_site_label
_atom_site_type_symbol
_atom_site_fract_x
_atom_site_fract_y
_atom_site_fract_z
Ca1 Ca 0.248 0.250 0.097
Au1 Au 0.001 0.750 0.250
Au2 Au 0.248 0.250 0.447
# - V: 20.71 Å³ per atom
# - Calculated total energy: -3.925 eV/atom
# - E_form: -0.598 eV/atom



[6]
# CuMo2Pt | Alexandria | GGA-PBEsol | optimized geometry
data_CuMo2Pt
_chemical_formula_sum 'Cu1 Mo2 Pt1'
_cell_length_a 2.656
_cell_length_b 4.049
_cell_length_c 5.255
_cell_angle_alpha 90.00
_cell_angle_beta 90.00
_cell_angle_gamma 90.00
_space_group_name_H-M_alt 'P m m m'
_space_group_IT_number 47
_space_group_name_Hall '-P 2 2'
loop_
_atom_site_label
_atom_site_type_symbol
_atom_site_fract_x
_atom_site_fract_y
_atom_site_fract_z
Cu1 Cu 0.000 0.000 0.000
Mo1 Mo 0.500 0.500 0.236
Pt1 Pt 0.000 0.000 0.500
# - V: 14.12 Å³ per atom
# - Calculated total energy: -8.766 eV/atom
# - E_form: -0.058 eV/atom